A geometry-optimized HgOsAu structure, computed with GGA-PBE.

a = 2.8314 Å, b = 5.0091 Å, c = 15.0914 Å
α = 90.00°, β = 90.00°, γ = 90.00°
With the nearest neighbours (Å) after each atom.
Space group Fmm2 (No. 42)
Asymmetric unit:
Hg 0.0000 0.0000 0.0000 (multiplicity 4)  6 Hg 2.83-2.88, 2 Os 2.87, 2 Au 2.99
Os 0.0000 0.0000 0.3345 (multiplicity 4)  2 Au 2.80, 6 Os 2.83-2.88, 2 Hg 2.87
Au 0.0000 0.0000 0.6746 (multiplicity 4)  2 Os 2.80, 6 Au 2.83-2.88, 2 Hg 2.99

Summary:
Energy above the most stable polymorph in this dataset: 39 meV/atom



A geometry-optimized Hg2OsAu structure, computed with GGA-PBE.

a = 2.9334 Å, b = 5.1019 Å, c = 10.0104 Å
α = 90.00°, β = 90.00°, γ = 90.00°
With the nearest neighbours (Å) after each atom.
Space group Cmmm (No. 65)
Asymmetric unit:
Hg 0.0000 0.0000 0.2423 (multiplicity 4)  2 Os 2.83, 6 Hg 2.93-2.94, 2 Au 2.97
Os 0.0000 0.5000 0.0000 (multiplicity 2)  4 Hg 2.83, 6 Os 2.93-2.94
Au 0.0000 0.5000 0.5000 (multiplicity 2)  6 Au 2.93-2.94, 4 Hg 2.97

Summary:
Energy above the most stable polymorph in this dataset: 34 meV/atom



A geometry-optimized HgOs2Au structure, computed with GGA-PBE.

a = 3.9911 Å, b = 3.9911 Å, c = 8.3678 Å
α = 90.00°, β = 90.00°, γ = 90.00°
With the nearest neighbours (Å) after each atom.
Space group I4/mmm (No. 139)
Asymmetric unit:
Hg 0.0000 0.0000 0.0000 (multiplicity 2)  4 Au 2.82, 8 Os 2.89
Os 0.0000 0.5000 0.2500 (multiplicity 4)  4 Os 2.82, 4 Hg 2.89, 4 Au 2.89
Au 0.0000 0.0000 0.5000 (multiplicity 2)  4 Hg 2.82, 8 Os 2.89

Summary:
E_tot: -5.467 eV/atom



A geometry-optimized HgOsAu2 structure, computed with GGA-PBE.

a = 5.8408 Å, b = 8.7251 Å, c = 2.7731 Å
α = 90.00°, β = 90.00°, γ = 90.00°
With the nearest neighbours (Å) after each atom.
Space group Cmmm (No. 65)
Asymmetric unit:
Hg 0.0000 0.0000 0.0000 (multiplicity 2)  2 Hg 2.77, 2 Os 2.92, 8 Au 2.97
Os 0.0000 0.5000 0.0000 (multiplicity 2)  2 Os 2.77, 2 Hg 2.92, 8 Au 2.97
Au 0.2500 0.2500 0.5000 (multiplicity 4)  4 Au 2.77-2.92, 4 Hg 2.97, 4 Os 2.97

Summary:
E_tot: -3.953 eV/atom



A geometry-optimized HgOs2Au structure, computed with GGA-PBE.

a = 2.8227 Å, b = 3.6739 Å, c = 6.7003 Å
α = 90.00°, β = 90.00°, γ = 90.00°
With the nearest neighbours (Å) after each atom.
Space group Pmm2 (No. 25)
Asymmetric unit:
Hg 0.0000 0.0000 0.0000 (multiplicity 1)  2 Hg 2.82, 4 Au 2.97, 5 Os 3.01-3.06
Os 0.0000 0.0000 0.4572 (multiplicity 1)  6 Os 2.58-2.82
Os 0.5000 0.5000 0.2878 (multiplicity 1)  6 Os 2.58-2.82
Au 0.5000 0.5000 0.7220 (multiplicity 1)  2 Au 2.82, 5 Os 2.91-2.92, 4 Hg 2.97

Summary:
E_tot: -5.995 eV/atom



A geometry-optimized HgOsAu2 structure, computed with GGA-PBE.

a = 9.8220 Å, b = 2.8195 Å, c = 5.2224 Å
α = 90.00°, β = 100.50°, γ = 90.00°
With the nearest neighbours (Å) after each atom.
Space group Cm (No. 8)
Asymmetric unit:
Hg 0.0000 0.0000 0.0000 (multiplicity 2)  2 Hg 2.82, 3 Os 2.89-2.93, 7 Au 2.93-3.05
Os 0.2508 0.0000 0.7718 (multiplicity 2)  2 Os 2.82, 7 Au 2.83-3.13, 3 Hg 2.89-2.93
Au 0.0148 0.5000 0.5149 (multiplicity 2)  5 Au 2.82-2.94, 3 Os 2.83-3.13, 4 Hg 2.93-3.02
Au 0.2601 0.5000 0.2796 (multiplicity 2)  5 Au 2.82-2.94, 4 Os 2.95-2.99, 3 Hg 2.99-3.05

Summary:
E_tot: -3.910 eV/atom